[1]
{
  "formula": "SBrO2",
  "functional": "PBE",
  "state": "optimized geometry",
  "lattice": [[4.727, 0.000, 0.000], [0.042, 6.316, 0.000], [1.794, 1.652, 6.724]],
  "species": ["S", "S", "Br", "Br", "O", "O", "O", "O"],
  "fractional_positions": [[0.048, 0.464, 0.326], [0.952, 0.536, 0.674], [0.411, 0.884, 0.921], [0.589, 0.116, 0.079], [0.001, 0.318, 0.570], [0.216, 0.574, 0.732], [0.784, 0.426, 0.268], [0.999, 0.682, 0.430]],
  "magnetic_moment_mub_per_fu": 0.00,
  "e_tot_ev_per_atom": -4.557,
  "polymorph_energy_ev_per_fu": 0.00
}

***

[2]
{
  "formula": "Nd2SmPd3",
  "functional": "PBE",
  "state": "optimized geometry",
  "lattice": [[6.636, -2.966, 0.000], [6.636, 2.966, 0.000], [-2.656, 0.000, 7.951]],
  "species": ["Nd", "Nd", "Nd", "Nd", "Sm", "Sm", "Pd", "Pd", "Pd", "Pd", "Pd", "Pd"],
  "fractional_positions": [[0.164, 0.170, 0.083], [0.170, 0.164, 0.583], [0.830, 0.836, 0.417], [0.836, 0.830, 0.917], [0.495, 0.505, 0.750], [0.505, 0.495, 0.250], [0.005, 0.995, 0.250], [0.333, 0.339, 0.418], [0.339, 0.333, 0.918], [0.661, 0.667, 0.082], [0.667, 0.661, 0.582], [0.995, 0.005, 0.750]],
  "e_form_ev_per_atom": -0.679,
  "magnetic_moment_mub_per_fu": 0.00,
  "e_tot_ev_per_atom": -5.651
}

***

[3]
{
  "formula": "CrFeSe2Br",
  "functional": "PBE",
  "state": "optimized geometry",
  "lattice": [[4.687, 0.000, 0.000], [0.000, 4.687, 0.000], [0.000, 0.000, 5.332]],
  "species": ["Cr", "Fe", "Se", "Se", "Br"],
  "fractional_positions": [[0.000, 0.000, 0.000], [0.500, 0.500, 0.500], [0.000, 0.500, 0.500], [0.500, 0.000, 0.500], [0.500, 0.500, 0.000]],
  "magnetic_moment_mub_per_fu": 0.99,
  "e_tot_ev_per_atom": -4.986,
  "polymorph_energy_ev_per_fu": 0.00
}

***

[4]
{
  "formula": "La7YHo3",
  "functional": "PBE",
  "state": "optimized geometry",
  "lattice": [[6.633, 0.000, 0.000], [-0.697, 6.776, 0.000], [-1.353, -1.711, 8.633]],
  "species": ["La", "La", "La", "La", "La", "La", "La", "Y", "Ho", "Ho", "Ho"],
  "fractional_positions": [[0.000, 0.000, 0.000], [0.053, 0.712, 0.646], [0.205, 0.226, 0.706], [0.483, 0.733, 0.914], [0.517, 0.267, 0.086], [0.795, 0.774, 0.294], [0.947, 0.288, 0.354], [0.000, 0.500, 0.000], [0.322, 0.927, 0.332], [0.500, 0.500, 0.500], [0.678, 0.073, 0.668]],
  "e_form_ev_per_atom": 0.130,
  "magnetic_moment_mub_per_fu": 0.00,
  "e_tot_ev_per_atom": -4.841,
  "polymorph_energy_ev_per_fu": 0.00
}

***

[5]
{
  "formula": "CoB2Mo",
  "functional": "PBE",
  "state": "optimized geometry",
  "lattice": [[-1.762, 1.762, 6.851], [1.762, -1.762, 6.851], [1.762, 1.762, -6.851]],
  "species": ["Co", "Co", "B", "B", "B", "B", "Mo", "Mo"],
  "fractional_positions": [[0.375, 0.625, 0.750], [0.625, 0.375, 0.250], [0.000, 0.500, 0.500], [0.500, 0.000, 0.000], [0.500, 0.500, 0.000], [0.500, 0.500, 0.500], [0.125, 0.875, 0.250], [0.875, 0.125, 0.750]],
  "e_form_ev_per_atom": 0.349,
  "magnetic_moment_mub_per_fu": 0.00,
  "e_tot_ev_per_atom": -7.474,
  "polymorph_energy_ev_per_fu": 2.80
}

***

[6]
{
  "formula": "SiRhW2",
  "functional": "PBE",
  "state": "optimized geometry",
  "lattice": [[2.762, 0.000, 0.000], [0.000, 4.125, 0.000], [-0.545, 0.000, 5.182]],
  "species": ["Si", "Rh", "W", "W"],
  "fractional_positions": [[0.000, 0.000, 0.000], [0.000, 0.000, 0.500], [0.447, 0.500, 0.239], [0.553, 0.500, 0.761]],
  "magnetic_moment_mub_per_fu": 0.00,
  "e_tot_ev_per_atom": -9.766
}

***

[7]
{
  "formula": "Dy7Er3Sc2",
  "functional": "PBE",
  "state": "optimized geometry",
  "lattice": [[3.201, 1.848, 10.791], [-3.201, 1.848, 10.791], [0.000, -3.696, 10.791]],
  "species": ["Dy", "Dy", "Dy", "Dy", "Dy", "Dy", "Dy", "Er", "Er", "Er", "Sc", "Sc"],
  "fractional_positions": [[0.000, 0.000, 0.000], [0.084, 0.084, 0.580], [0.084, 0.580, 0.084], [0.420, 0.916, 0.916], [0.580, 0.084, 0.084], [0.916, 0.420, 0.916], [0.916, 0.916, 0.420], [0.348, 0.348, 0.348], [0.500, 0.500, 0.500], [0.652, 0.652, 0.652], [0.167, 0.167, 0.167], [0.833, 0.833, 0.833]],
  "e_form_ev_per_atom": 0.304,
  "magnetic_moment_mub_per_fu": 0.00,
  "e_tot_ev_per_atom": -4.577,
  "polymorph_energy_ev_per_fu": 2.40
}

***

[8]
{
  "formula": "Ac2Zn4AgPt3",
  "functional": "PBE",
  "state": "optimized geometry",
  "lattice": [[4.427, 0.000, 0.000], [0.000, 4.427, 0.000], [0.000, 0.000, 10.697]],
  "species": ["Ac", "Ac", "Zn", "Zn", "Zn", "Zn", "Ag", "Pt", "Pt", "Pt"],
  "fractional_positions": [[0.000, 0.500, 0.248], [0.500, 0.000, 0.752], [0.000, 0.000, 0.000], [0.000, 0.500, 0.629], [0.500, 0.000, 0.371], [0.500, 0.500, 0.000], [0.000, 0.000, 0.500], [0.000, 0.500, 0.868], [0.500, 0.000, 0.132], [0.500, 0.500, 0.500]],
  "e_form_ev_per_atom": -0.679,
  "magnetic_moment_mub_per_fu": 0.00,
  "e_tot_ev_per_atom": -4.108
}

***

[9]
{
  "formula": "Pm6GaOs2Cl3",
  "functional": "PBE",
  "state": "optimized geometry",
  "lattice": [[3.528, -6.244, 0.000], [3.528, 6.244, 0.000], [-2.334, 0.000, 7.518]],
  "species": ["Pm", "Pm", "Pm", "Pm", "Pm", "Pm", "Ga", "Os", "Os", "Cl", "Cl", "Cl"],
  "fractional_positions": [[0.080, 0.444, 0.795], [0.219, 0.219, 0.224], [0.444, 0.080, 0.795], [0.556, 0.920, 0.205], [0.781, 0.781, 0.776], [0.920, 0.556, 0.205], [0.500, 0.500, 0.000], [0.159, 0.841, 0.000], [0.841, 0.159, 0.000], [0.000, 0.000, 0.500], [0.330, 0.670, 0.500], [0.670, 0.330, 0.500]],
  "magnetic_moment_mub_per_fu": 0.00,
  "e_tot_ev_per_atom": -5.831
}

***

[10]
{
  "formula": "PmDy2Pd3",
  "functional": "PBE",
  "state": "optimized geometry",
  "lattice": [[3.531, 0.000, 0.000], [0.000, 3.531, 0.000], [0.000, 0.000, 10.652]],
  "species": ["Pm", "Dy", "Dy", "Pd", "Pd", "Pd"],
  "fractional_positions": [[0.000, 0.000, 0.000], [0.000, 0.000, 0.337], [0.000, 0.000, 0.663], [0.500, 0.500, 0.178], [0.500, 0.500, 0.500], [0.500, 0.500, 0.822]],
  "e_form_ev_per_atom": -0.845,
  "magnetic_moment_mub_per_fu": 0.00,
  "e_tot_ev_per_atom": -5.767,
  "polymorph_energy_ev_per_fu": 0.02
}

***

[11]
{
  "formula": "BaLiGaAg",
  "functional": "PBE",
  "state": "optimized geometry",
  "lattice": [[4.031, -2.321, 0.000], [4.031, 2.321, 0.000], [-2.688, 0.000, 5.865]],
  "species": ["Ba", "Li", "Ga", "Ag"],
  "fractional_positions": [[0.000, 0.000, 0.000], [0.498, 0.498, 0.493], [0.195, 0.195, 0.587], [0.811, 0.811, 0.434]],
  "e_form_ev_per_atom": -0.279,
  "magnetic_moment_mub_per_fu": 0.00,
  "e_tot_ev_per_atom": -2.708
}

***

[12]
{
  "formula": "ScZn2CdNi",
  "functional": "PBE",
  "state": "optimized geometry",
  "lattice": [[4.776, 0.000, 0.000], [0.000, 4.776, 0.000], [0.000, 0.000, 5.381]],
  "species": ["Sc", "Zn", "Zn", "Cd", "Ni"],
  "fractional_positions": [[0.000, 0.000, 0.000], [0.000, 0.500, 0.500], [0.500, 0.000, 0.500], [0.000, 0.000, 0.500], [0.500, 0.500, 0.000]],
  "e_form_ev_per_atom": 0.890,
  "magnetic_moment_mub_per_fu": 0.00,
  "e_tot_ev_per_atom": -2.225
}